Entry 1:
# HfZnMoPd2 | the Alexandria database | GGA-PBEsol | relaxed
data_HfZnMoPd2
_chemical_formula_sum 'Hf1 Zn1 Mo1 Pd2'
_symmetry_space_group_name_H-M 'P 4/m m m'
_symmetry_Int_Tables_number 123
_symmetry_space_group_name_Hall '-P 4 2'
_cell_length_a 4.385
_cell_length_b 4.385
_cell_length_c 4.799
_cell_angle_alpha 90.00
_cell_angle_beta 90.00
_cell_angle_gamma 90.00
loop_
_atom_site_label
_atom_site_type_symbol
_atom_site_fract_x
_atom_site_fract_y
_atom_site_fract_z
_atom_site_occupancy
Hf1 Hf 0.000 0.000 0.000 1
Zn1 Zn 0.000 0.000 0.500 1
Mo1 Mo 0.500 0.500 0.000 1
Pd1 Pd 0.000 0.500 0.500 1
# Total magnetic moment = 1.015 Bohr magnetons per cell
# E = -6.213 eV/atom
# Energy of formation = 21.70 kcal/mol of atoms



Entry 2:
# HfZn2MoPd | the Alexandria database | GGA-PBEsol | relaxed
data_HfZn2MoPd
_chemical_formula_sum 'Hf1 Zn2 Mo1 Pd1'
_symmetry_space_group_name_H-M 'P 4/m m m'
_symmetry_Int_Tables_number 123
_symmetry_space_group_name_Hall '-P 4 2'
_cell_length_a 4.884
_cell_length_b 4.884
_cell_length_c 4.577
_cell_angle_alpha 90.00
_cell_angle_beta 90.00
_cell_angle_gamma 90.00
loop_
_atom_site_label
_atom_site_type_symbol
_atom_site_fract_x
_atom_site_fract_y
_atom_site_fract_z
_atom_site_occupancy
Hf1 Hf 0.000 0.000 0.000 1
Zn1 Zn 0.000 0.500 0.000 1
Mo1 Mo 0.000 0.000 0.500 1
Pd1 Pd 0.500 0.500 0.500 1
# Total magnetic moment = 0.000 Bohr magnetons per cell
# E = -4.717 eV/atom
# Energy of formation = 36.01 kcal/mol of atoms



Entry 3:
# HfMo2PtW | the Alexandria database | GGA-PBEsol | relaxed
data_HfMo2PtW
_chemical_formula_sum 'Hf1 Mo2 Pt1 W1'
_symmetry_space_group_name_H-M 'P 4/m m m'
_symmetry_Int_Tables_number 123
_symmetry_space_group_name_Hall '-P 4 2'
_cell_length_a 4.698
_cell_length_b 4.698
_cell_length_c 4.740
_cell_angle_alpha 90.00
_cell_angle_beta 90.00
_cell_angle_gamma 90.00
loop_
_atom_site_label
_atom_site_type_symbol
_atom_site_fract_x
_atom_site_fract_y
_atom_site_fract_z
_atom_site_occupancy
Hf1 Hf 0.000 0.000 0.000 1
Mo1 Mo 0.000 0.500 0.500 1
Pt1 Pt 0.500 0.500 0.500 1
W1 W 0.500 0.500 0.000 1
# Total magnetic moment = 0.000 Bohr magnetons per cell
# E = -9.310 eV/atom
# Energy of formation = 38.10 kcal/mol of atoms